Below is Co3Re after structural relaxation, with properties calculated at the PBE level.

abc: 4.4845 4.4845 4.4845
angles: 90.00 90.00 90.00
Fractional coordinates of all 4 atoms:
1 Co 0.0000 0.0000 0.5000
2 Co 0.0000 0.5000 0.0000
3 Co 0.5000 0.0000 0.0000
4 Re 0.0000 0.0000 0.0000

Summary:
SG: No. 221

---

Below is CoRe2 after structural relaxation, with properties calculated at the PBE level.

abc: 5.6675 5.6675 5.6675
angles: 90.00 90.00 90.00
Fractional coordinates of all 12 atoms:
1 Co 0.0000 0.0000 0.0000
2 Co 0.0000 0.5000 0.5000
3 Co 0.5000 0.0000 0.5000
4 Co 0.5000 0.5000 0.0000
5 Re 0.2500 0.2500 0.2500
6 Re 0.2500 0.2500 0.7500
7 Re 0.2500 0.7500 0.2500
8 Re 0.2500 0.7500 0.7500
9 Re 0.7500 0.2500 0.2500
10 Re 0.7500 0.2500 0.7500
11 Re 0.7500 0.7500 0.2500
12 Re 0.7500 0.7500 0.7500

Summary:
SG: No. 225
Distance to the lowest polymorph of the same formula: 753 meV per atom

---

Below is CoRe4 after structural relaxation, with properties calculated at the PBE level.

abc: 4.3412 4.3412 4.3412
angles: 90.00 90.00 90.00
Fractional coordinates of all 5 atoms:
1 Co 0.0000 0.0000 0.0000
2 Re 0.0000 0.0000 0.5000
3 Re 0.0000 0.5000 0.0000
4 Re 0.5000 0.0000 0.0000
5 Re 0.5000 0.5000 0.5000

Summary:
SG: No. 221
Distance to the lowest polymorph of the same formula: 1638 meV per atom

---

Below is CoRe5 after structural relaxation, with properties calculated at the PBE level.

abc: 5.0352 5.0352 4.5619
angles: 90.00 90.00 120.00
Fractional coordinates of all 6 atoms:
1 Co 0.0000 0.0000 0.0000
2 Re 0.0000 0.5000 0.5000
3 Re 0.3333 0.6667 0.0000
4 Re 0.5000 0.0000 0.5000
5 Re 0.5000 0.5000 0.5000
6 Re 0.6667 0.3333 0.0000

Summary:
SG: No. 191
Distance to the lowest polymorph of the same formula: 737 meV per atom

---

Energy of formation for every record listed, in sequence, given in eV/atom: 2.10; 0.73; 1.70; 0.74.
E for every record listed, in sequence, given in eV/atom: -6.342; -9.937; -9.676; -10.822.
Density for every record listed, in sequence, given in g/cm3: 6.68; 15.74; 16.31; 16.41.